Entry 1:
PIrICl2 | PBE | relaxed

Cell and atoms, written as CIF:
```
data_PIrICl2
_cell_length_a 4.879
_cell_length_b 4.879
_cell_length_c 4.684
_cell_angle_alpha 90.00
_cell_angle_beta 90.00
_cell_angle_gamma 90.00
_symmetry_space_group_name_H-M 'P 1'
_symmetry_Int_Tables_number 1
loop_
_symmetry_equiv_pos_as_xyz
'x,y,z'
loop_
_atom_site_label
_atom_site_fract_x
_atom_site_fract_y
_atom_site_fract_z
Cl1 0.000 0.500 0.000
I1 0.500 0.500 0.500
Ir1 0.000 0.000 0.000
Cl2 0.500 0.000 0.000
P1 0.000 0.000 0.500
```

Summary:
- magnetization (μB/cell) = 0.0
- uncorrected formation energy (eV/atom) = 0.29



Entry 2:
Er2Tl3Cd3 | PBE | relaxed

Cell and atoms, written as CIF:
```
data_Er2Tl3Cd3
_cell_length_a 4.758
_cell_length_b 4.615
_cell_length_c 9.047
_cell_angle_alpha 90.00
_cell_angle_beta 90.00
_cell_angle_gamma 90.00
_symmetry_space_group_name_H-M 'P 1'
_symmetry_Int_Tables_number 1
loop_
_symmetry_equiv_pos_as_xyz
'x,y,z'
loop_
_atom_site_label
_atom_site_fract_x
_atom_site_fract_y
_atom_site_fract_z
Cd1 0.500 0.500 0.759
Er1 0.000 0.000 0.251
Tl1 0.500 0.000 0.500
Tl2 0.000 0.500 0.500
Cd2 0.500 0.000 0.000
Er2 0.000 0.000 0.749
Cd3 0.500 0.500 0.241
Tl3 0.000 0.500 0.000
```

Summary:
- magnetization (μB/cell) = 0.0
- energy of formation (eV/f.u.) = -1.753



Entry 3:
Mn4P | PBE | relaxed

Cell and atoms, written as CIF:
```
data_Mn4P
_cell_length_a 4.561
_cell_length_b 4.561
_cell_length_c 4.561
_cell_angle_alpha 109.47
_cell_angle_beta 109.47
_cell_angle_gamma 109.47
_symmetry_space_group_name_H-M 'P 1'
_symmetry_Int_Tables_number 1
loop_
_symmetry_equiv_pos_as_xyz
'x,y,z'
loop_
_atom_site_label
_atom_site_fract_x
_atom_site_fract_y
_atom_site_fract_z
P1 0.000 0.000 0.000
Mn1 0.500 0.500 0.500
Mn2 0.000 0.500 0.000
Mn3 0.500 0.000 0.000
Mn4 0.000 0.000 0.500
```

Summary:
- magnetization (μB/cell) = 10.3
- energy of formation (eV/f.u.) = 1.998